SrCa2Mg4 | PBE | relaxed

## Properties
* formation energy: 0.137 eV per atom
* crystal system: tetragonal

```
data_SrCa2Mg4
_chemical_formula_sum 'Sr2 Ca4 Mg8'
_space_group_name_H-M_alt 'I 4/m m m'
_space_group_IT_number 139
_space_group_name_Hall '-I 4 2'
_cell_length_a 8.365
_cell_length_b 8.365
_cell_length_c 7.241
_cell_angle_alpha 90.00
_cell_angle_beta 90.00
_cell_angle_gamma 90.00
loop_
_atom_site_label
_atom_site_type_symbol
_atom_site_fract_x
_atom_site_fract_y
_atom_site_fract_z
Sr1 Sr 0.000 0.000 0.000
Ca1 Ca 0.000 0.500 0.000
Mg1 Mg 0.250 0.250 0.250
```

=====

Sr2CaMg2 | PBE | relaxed

## Properties
* offset from the most stable computed form: 0.0852 eV per atom
* formation energy: 0.068 eV per atom
* crystal system: tetragonal

```
data_Sr2CaMg2
_chemical_formula_sum 'Sr4 Ca2 Mg4'
_space_group_name_H-M_alt 'P 4/m b m'
_space_group_IT_number 127
_space_group_name_Hall '-P 4 2ab'
_cell_length_a 9.985
_cell_length_b 9.985
_cell_length_c 3.846
_cell_angle_alpha 90.00
_cell_angle_beta 90.00
_cell_angle_gamma 90.00
loop_
_atom_site_label
_atom_site_type_symbol
_atom_site_fract_x
_atom_site_fract_y
_atom_site_fract_z
Sr1 Sr 0.135 0.365 0.000
Ca1 Ca 0.000 0.000 0.000
Mg1 Mg 0.162 0.662 0.500
```

=====

SrCa2Mg2 | PBE | relaxed

## Properties
* offset from the most stable computed form: 0.1941 eV per atom
* formation energy: 0.158 eV per atom
* crystal system: tetragonal

```
data_SrCa2Mg2
_chemical_formula_sum 'Sr2 Ca4 Mg4'
_space_group_name_H-M_alt 'I 4/m m m'
_space_group_IT_number 139
_space_group_name_Hall '-I 4 2'
_cell_length_a 4.648
_cell_length_b 4.648
_cell_length_c 18.025
_cell_angle_alpha 90.00
_cell_angle_beta 90.00
_cell_angle_gamma 90.00
loop_
_atom_site_label
_atom_site_type_symbol
_atom_site_fract_x
_atom_site_fract_y
_atom_site_fract_z
Sr1 Sr 0.000 0.000 0.000
Ca1 Ca 0.000 0.000 0.389
Mg1 Mg 0.000 0.500 0.250
```

=====

Sr3Ca5Mg2 | PBE | relaxed

## Properties
* formation energy: 0.003 eV per atom
* crystal system: tetragonal

```
data_Sr3Ca5Mg2
_chemical_formula_sum 'Sr6 Ca10 Mg4'
_space_group_name_H-M_alt 'P 4/m b m'
_space_group_IT_number 127
_space_group_name_Hall '-P 4 2ab'
_cell_length_a 12.512
_cell_length_b 12.512
_cell_length_c 5.443
_cell_angle_alpha 90.00
_cell_angle_beta 90.00
_cell_angle_gamma 90.00
loop_
_atom_site_label
_atom_site_type_symbol
_atom_site_fract_x
_atom_site_fract_y
_atom_site_fract_z
Sr1 Sr 0.000 0.000 0.000
Sr2 Sr 0.173 0.327 0.000
Ca1 Ca 0.000 0.500 0.500
Ca2 Ca 0.073 0.788 0.500
Mg1 Mg 0.120 0.620 0.000
```

=====

Look up the formation energy of the third one.
0.158 eV per atom